6
Lattice="0.000 3.887 3.887 3.887 0.000 3.887 3.887 3.887 0.000" Properties=species:S:1:pos:R:3 comment="WAu4Se (GGA-PBE, relaxed)" raw_formation_energy_ev_per_atom=0.772 total_energy_ev_per_atom=-4.153 magmom_total_mub_per_cell=3.63 pbc="T T T"
W 0.000 0.000 0.000
Au 4.861 2.913 2.913
Au 2.913 4.861 2.913
Au 2.913 2.913 4.861
Au 4.861 4.861 4.861
Se 1.944 1.944 1.944